# 1
Entry from the Alexandria database: a geometry-optimized Mn2Cd2PPt4 structure (GGA-PBE).

Its electronic total energy is -5.78 eV/atom.

The space group is I4/mmm (No. 139) and the conventional cell measures 6.206, 6.206 and 7.875 Å, with angles of 90.00, 90.00 and 90.00 degrees. The asymmetric unit holds Mn at (0.000, 0.000, 0.209), Cd at (0.000, 0.500, 0.250), P at (0.000, 0.000, 0.500) and Pt at (0.236, 0.236, 0.000).

# 2
Entry from the Alexandria database: a geometry-optimized Pm3CuGe6Pd2 structure (GGA-PBE).

Its electronic total energy is -5.12 eV/atom.

The space group is P-3m1 (No. 164) and the conventional cell measures 5.9149, 5.9149 and 8.2885 Å, with angles of 90.00, 90.00 and 120.00 degrees. The asymmetric unit holds Pm at (0.0000, 0.0000, 0.0000), Pm at (0.3333, 0.6667, 0.6179), Cu at (0.0000, 0.0000, 0.5000), Ge at (0.1838, 0.3676, 0.2836) and Pd at (0.3333, 0.6667, 0.0261).

# 3
Entry from the Alexandria database: a geometry-optimized BeSbTe structure (GGA-PBE).

The excess energy over the best structure of this formula in the dataset is 0.000 eV/atom. As for the uncorrected formation energy: -70 meV/atom.

The space group is Imm2 (No. 44) and the conventional cell measures 4.062, 13.527 and 6.819 Å, with angles of 90.00, 90.00 and 90.00 degrees. The asymmetric unit holds Be at (0.000, 0.190, 0.000), Sb at (0.000, 0.000, 0.012), Sb at (0.000, 0.500, 0.216) and Te at (0.000, 0.274, 0.314).

# 4
Entry from the Alexandria database: a geometry-optimized Ce2ZnOs2 structure (GGA-PBE).

Its electronic total energy is -7.37 eV/atom.

The space group is C2/c (No. 15) and the conventional cell measures 9.862, 5.378 and 8.293 Å, with angles of 90.00, 109.75 and 90.00 degrees. The asymmetric unit holds Ce at (0.146, 0.157, 0.146), Zn at (0.000, 0.364, 0.750) and Os at (0.137, 0.343, 0.531).

Number 1: calculated volume 151.63 Å³/f.u.. Number 2: calculated volume 251.13 Å³/f.u.. Number 3: calculated volume 93.68 Å³/f.u.. Number 4: calculated volume 103.50 Å³/f.u..